Entry 1:
DFT (GGA-PBE) results for PmGe2Pt after structural relaxation.

Output
Its total energy is -93.3 eV per cell. Its calculated density is 9.714 g/cm³. The calculation puts the density of states at the Fermi level at 2.11 states/eV/f.u. The value obtained for the energy relative to the elements is -3.29 eV/f.u. The energy relative to the lowest polymorph listed for this composition comes out at 0.34 eV per formula unit. As for the crystal system: orthorhombic.

Cell: 6.908 4.427 10.852 Å, 90.00 90.00 90.00°
Space group Pnma (No. 62)
Asymmetric unit:
Pm1 0.179 0.250 0.190
Ge1 0.016 0.250 0.657
Ge2 0.187 0.750 0.994
Pt1 0.148 0.250 0.882

---

Entry 2:
DFT (GGA-PBE) results for CaPm2Pt after structural relaxation.

Output
Its total energy is -79.5 eV per cell. Its calculated density is 7.309 g/cm³. The calculation puts the density of states at the Fermi level at 4.76 states/eV/f.u. The value obtained for the energy relative to the elements is -2.34 eV/f.u. The energy relative to the lowest polymorph listed for this composition comes out at 0.00 eV per formula unit. As for the crystal system: orthorhombic.

Cell: 4.071 12.551 9.341 Å, 90.00 90.00 90.00°
Space group Cmcm (No. 63)
Asymmetric unit:
Ca1 0.000 0.069 0.250
Pm1 0.000 0.357 0.060
Pt1 0.000 0.237 0.750

---

Entry 3:
DFT (GGA-PBE) results for La3Pr5Tl after structural relaxation.

Output
Its total energy is -159.4 eV per cell. Its calculated density is 6.822 g/cm³. The calculation puts the density of states at the Fermi level at 13.46 states/eV/f.u. The value obtained for the energy relative to the elements is 1.20 eV/f.u. As for the crystal system: tetragonal.

Cell: 9.336 9.336 14.808 Å, 90.00 90.00 90.00°
Space group I4/mcm (No. 140)
Asymmetric unit:
La1 0.000 0.000 0.250
La2 0.120 0.380 0.000
Pr1 0.000 0.000 0.000
Pr2 0.198 0.302 0.362
Tl1 0.000 0.500 0.250

---

Entry 4:
DFT (GGA-PBE) results for Sr2CeTiO6 after structural relaxation.

Output
For the uncorrected formation energy, the calculation gives -3073 meV/atom. Its total energy is -310.7 eV per cell. Its calculated density is 5.216 g/cm³. The calculation puts the density of states at the Fermi level at 0.00 states/eV/f.u. The energy relative to the lowest polymorph listed for this composition comes out at 0.53 eV per formula unit. As for the crystal system: cubic.

Cell: 8.362 8.362 8.362 Å, 90.00 90.00 90.00°
Space group Fm-3m (No. 225)
Asymmetric unit:
Sr1 0.250 0.250 0.250
Ce1 0.000 0.000 0.000
Ti1 0.000 0.000 0.500
O1 0.000 0.000 0.264

---

Entry 5:
DFT (GGA-PBE) results for SiAsI2 after structural relaxation.

Output
For the uncorrected formation energy, the calculation gives 693 meV/atom. Its total energy is -41.6 eV per cell. Its calculated density is 5.010 g/cm³. The calculation puts the density of states at the Fermi level at 2.72 states/eV/f.u. The energy relative to the lowest polymorph listed for this composition comes out at 0.00 eV per formula unit. As for the crystal system: tetragonal.

Cell: 8.097 8.097 7.216 Å, 90.00 90.00 90.00°
Space group I-42d (No. 122)
Asymmetric unit:
Si1 0.000 0.000 0.000
As1 0.000 0.000 0.500
I1 0.239 0.250 0.125

---

Entry 6:
DFT (GGA-PBE) results for Y3Fe8Co after structural relaxation.

Output
Its total energy is -282.6 eV per cell. Its calculated density is 7.040 g/cm³. The calculation puts the density of states at the Fermi level at 9.34 states/eV/f.u. The value obtained for the energy relative to the elements is -0.01 eV/f.u. As for the crystal system: trigonal.

Cell: 5.0506 5.0506 24.7419 Å, 90.00 90.00 120.00°
Space group R3m (No. 160, hexagonal axes)
Asymmetric unit:
Y1 0.0000 0.0000 0.0000
Y2 0.0000 0.0000 0.1284
Y3 0.0000 0.0000 0.5102
Fe1 0.0000 0.0000 0.3163
Fe2 0.0000 0.0000 0.8168
Fe3 0.1670 0.3341 0.9022
Fe4 0.1687 0.3375 0.3972
Co1 0.0000 0.0000 0.6317

---

Question: calculated density of number 1 (PmGe2Pt)?
Answer: 9.714 g/cm³